# 1
A plane-wave DFT calculation with GGA-PBE was carried out for an optimized crystal structure of NbAuI2N.

Values from the calculation:
V ... 26.8 A^3/atom
Distance to the lowest polymorph of the same formula ... 4.93 eV per formula unit
Raw total energy ... -18.36 eV/f.u.

Unit cell a=5.951 b=5.951 c=3.778 alpha=90.00 beta=90.00 gamma=90.00
Space group P4/mmm (No. 123)
Inequivalent atoms, fractional coordinates:
Nb1 0.000 0.000 0.000 x1
Au1 0.500 0.500 0.500 x1
I1 0.000 0.500 0.500 x2
N1 0.500 0.500 0.000 x1

***

# 2
A plane-wave DFT calculation with GGA-PBE was carried out for an optimized crystal structure of BaSc2TaH.

Values from the calculation:
V ... 21.0 A^3/atom
Raw total energy ... -27.51 eV/f.u.

Unit cell a=4.643 b=4.643 c=4.860 alpha=90.00 beta=90.00 gamma=90.00
Space group P4/mmm (No. 123)
Inequivalent atoms, fractional coordinates:
Ba1 0.000 0.000 0.000 x1
Sc1 0.000 0.500 0.500 x2
Ta1 0.500 0.500 0.000 x1
H1 0.000 0.000 0.500 x1